No. 1
Density functional theory data (GGA-PBE) for an optimized crystal structure of Y2BeZnHg.

Properties
calculated formation energy	120	meV per atom
total DFT energy (no corrections)	-17.63	eV/cell
symmetry	P4/mmm, No. 123

Cell: 5.442 4.153 5.442 Å, 90.00 90.00 90.00°
Positions (direct):
Zn1 0.000 0.000 0.000
Y1 0.000 0.000 0.500
Be1 0.000 0.500 0.000
Hg1 0.500 0.500 0.500
Y2 0.500 0.000 0.000

***

No. 2
Density functional theory data (GGA-PBE) for an optimized crystal structure of Be2ZnHg.

Properties
calculated formation energy	689	meV per atom
total DFT energy (no corrections)	-12.54	eV/cell
symmetry	I-42d, No. 122
energy above the most stable polymorph in this dataset	306.0	meV per atom

Cell: 6.724 6.724 5.479 Å, 52.15 52.15 90.00°
Positions (direct):
Be1 0.136 0.625 0.250
Be2 0.375 0.386 0.750
Zn1 0.250 0.750 0.500
Hg1 0.750 0.250 0.500
Hg2 0.000 0.000 0.000
Be3 0.614 0.125 0.250
Be4 0.875 0.864 0.750
Zn2 0.500 0.500 0.000

***

No. 3
Density functional theory data (GGA-PBE) for an optimized crystal structure of Be2ZnHg.

Properties
calculated formation energy	446	meV per atom
total DFT energy (no corrections)	-7.25	eV/cell
symmetry	C2/m, No. 12
energy above the most stable polymorph in this dataset	62.1	meV per atom

Cell: 4.799 5.156 3.094 Å, 67.62 99.99 121.16°
Positions (direct):
Be1 0.500 0.000 0.500
Zn1 0.500 0.500 0.000
Be2 0.000 0.000 0.000
Hg1 0.000 0.500 0.500

***

No. 4
Density functional theory data (GGA-PBE) for an optimized crystal structure of BeZnHg2.

Properties
calculated formation energy	362	meV per atom
total DFT energy (no corrections)	-4.16	eV/cell
symmetry	Pmm2, No. 25
energy above the most stable polymorph in this dataset	130.9	meV per atom

Cell: 3.610 3.833 5.314 Å, 90.00 90.00 90.00°
Positions (direct):
Hg1 0.000 0.000 0.960
Hg2 0.500 0.500 0.289
Be1 0.500 0.500 0.770
Zn1 0.000 0.000 0.481

***

No. 5
Density functional theory data (GGA-PBE) for an optimized crystal structure of BeZnHg2.

Properties
calculated formation energy	345	meV per atom
total DFT energy (no corrections)	-4.22	eV/cell
symmetry	C2/m, No. 12
energy above the most stable polymorph in this dataset	114.4	meV per atom

Cell: 4.595 4.595 6.161 Å, 70.47 70.47 38.57°
Positions (direct):
Hg1 0.522 0.522 0.479
Hg2 0.978 0.978 0.021
Zn1 0.750 0.750 0.750
Be1 0.250 0.250 0.250

***

No. 6
Density functional theory data (GGA-PBE) for an optimized crystal structure of BeZnHg2.

Properties
calculated formation energy	429	meV per atom
total DFT energy (no corrections)	-3.89	eV/cell
symmetry	Cmmm, No. 65
energy above the most stable polymorph in this dataset	198.7	meV per atom

Cell: 4.760 4.760 3.249 Å, 90.00 90.00 102.89°
Positions (direct):
Hg1 0.000 0.000 0.000
Be1 0.000 0.500 0.500
Zn1 0.500 0.000 0.500
Hg2 0.500 0.500 0.000